# 1
{"formula": "RbLi2F2", "functional": "PBE-GGA", "state": "optimized geometry", "lattice_angstrom": [[3.888, 0.000, 0.000], [0.000, 3.888, 0.000], [1.944, 1.944, 7.216]], "species": ["Li", "Li", "Rb", "F", "F"], "fractional_positions": [[0.750, 0.250, 0.500], [0.250, 0.750, 0.500], [0.000, 0.000, 0.000], [0.220, 0.220, 0.561], [0.780, 0.780, 0.439]], "dft_energy_ev_per_atom": -3.896, "formation_energy_uncorrected_kj_per_mol_atoms": -211.2, "dos_at_fermi_per_ev_atom": 0.158, "volume_a3_per_atom": 21.819, "spacegroup": "I4/mmm, No. 139"}

=====

# 2
{"formula": "NaNdCdSn", "functional": "PBE-GGA", "state": "optimized geometry", "lattice_angstrom": [[-3.849, -1.993, 0.451], [0.740, -0.361, 4.726], [-2.312, 4.628, 0.716]], "species": ["Na", "Nd", "Cd", "Sn"], "fractional_positions": [[0.000, 0.000, 0.000], [0.000, 0.500, 0.500], [0.500, 0.500, 0.000], [0.500, 0.000, 0.500]], "dft_energy_ev_per_atom": -3.128, "dos_at_fermi_per_ev_atom": 0.380, "volume_a3_per_atom": 27.295, "spacegroup": "Pmmm, No. 47"}

=====

# 3
{"formula": "AcIn3", "functional": "PBE-GGA", "state": "optimized geometry", "lattice_angstrom": [[4.922, 0.000, 0.000], [0.000, 4.923, 0.000], [0.000, 0.000, 4.923]], "species": ["Ac", "In", "In", "In"], "fractional_positions": [[0.000, 0.500, 0.416], [0.000, 0.000, 0.916], [0.500, 0.000, 0.417], [0.500, 0.500, 0.916]], "dft_energy_ev_per_atom": -3.481, "dos_at_fermi_per_ev_atom": 0.565, "volume_a3_per_atom": 29.823, "spacegroup": "Pm-3m, No. 221"}

=====

# 4
{"formula": "V2PtSe2", "functional": "PBE-GGA", "state": "optimized geometry", "lattice_angstrom": [[-3.607, 1.869, 1.513], [-1.601, 0.170, -4.025], [-4.476, -3.058, -0.683]], "species": ["Pt", "Se", "Se", "V", "V"], "fractional_positions": [[0.000, 0.000, 0.000], [0.362, 0.362, 0.276], [0.638, 0.638, 0.724], [0.750, 0.250, 0.500], [0.250, 0.750, 0.500]], "dft_energy_ev_per_atom": -6.300, "formation_energy_uncorrected_kj_per_mol_atoms": -4.9, "dos_at_fermi_per_ev_atom": 0.951, "volume_a3_per_atom": 17.002, "spacegroup": "I4/mmm, No. 139", "relative_energy_mev_per_atom": 67.5}

=====

# 5
{"formula": "Dy2HoPuSb4", "functional": "PBE-GGA", "state": "optimized geometry", "lattice_angstrom": [[-2.090, 3.782, 0.816], [-2.214, 0.344, -7.263], [-6.686, -3.527, -0.777]], "species": ["Dy", "Dy", "Ho", "Pu", "Sb", "Sb", "Sb", "Sb"], "fractional_positions": [[0.000, 0.000, 0.000], [0.500, 0.000, 0.500], [0.000, 0.500, 0.500], [0.500, 0.500, 0.000], [0.000, 0.751, 0.749], [0.000, 0.249, 0.251], [0.500, 0.750, 0.251], [0.500, 0.250, 0.749]], "dft_energy_ev_per_atom": -6.561, "formation_energy_uncorrected_kj_per_mol_atoms": -95.1, "dos_at_fermi_per_ev_atom": 2.082, "volume_a3_per_atom": 29.942, "spacegroup": "P2/m, No. 10"}

=====

# 6
{"formula": "AcTaSi", "functional": "PBE-GGA", "state": "optimized geometry", "lattice_angstrom": [[4.101, 0.000, 0.000], [0.000, 4.101, 0.000], [0.000, 0.000, 9.081]], "species": ["Ac", "Ac", "Si", "Si", "Ta", "Ta"], "fractional_positions": [[0.000, 0.500, 0.837], [0.500, 0.000, 0.163], [0.000, 0.500, 0.309], [0.500, 0.000, 0.691], [0.500, 0.500, 0.500], [0.000, 0.000, 0.500]], "dft_energy_ev_per_atom": -7.550, "formation_energy_uncorrected_kj_per_mol_atoms": -40.7, "dos_at_fermi_per_ev_atom": 0.430, "volume_a3_per_atom": 25.449, "spacegroup": "P4/nmm, No. 129"}

=====

# 7
{"formula": "CsPd3Se", "functional": "PBE-GGA", "state": "optimized geometry", "lattice_angstrom": [[-4.214, 0.124, -2.615], [0.315, -4.895, -0.739], [-2.599, -0.794, 4.150]], "species": ["Cs", "Se", "Pd", "Pd", "Pd"], "fractional_positions": [[0.500, 0.500, 0.500], [0.000, 0.000, 0.000], [0.000, 0.500, 0.000], [0.000, 0.000, 0.500], [0.500, 0.000, 0.000]], "dft_energy_ev_per_atom": -4.036, "formation_energy_uncorrected_kj_per_mol_atoms": -5.1, "dos_at_fermi_per_ev_atom": 1.305, "volume_a3_per_atom": 24.416, "spacegroup": "Pm-3m, No. 221", "relative_energy_mev_per_atom": 0.0}

=====

# 8
{"formula": "SbRuCl2", "functional": "PBE-GGA", "state": "optimized geometry", "lattice_angstrom": [[4.775, 0.000, 0.000], [2.387, 4.135, 0.000], [2.387, 1.378, 3.899]], "species": ["Sb", "Cl", "Cl", "Ru"], "fractional_positions": [[0.750, 0.750, 0.750], [0.000, 0.000, 0.000], [0.250, 0.250, 0.250], [0.500, 0.500, 0.500]], "dft_energy_ev_per_atom": -3.829, "formation_energy_uncorrected_kj_per_mol_atoms": 42.8, "dos_at_fermi_per_ev_atom": 1.037, "volume_a3_per_atom": 19.243, "spacegroup": "F-43m, No. 216", "relative_energy_mev_per_atom": 619.9}

=====

# 9
{"formula": "AcDyNpO6", "functional": "PBE-GGA", "state": "optimized geometry", "lattice_angstrom": [[5.834, 0.000, 0.000], [-2.917, 5.052, 0.000], [0.000, 0.000, 10.305]], "species": ["Ac", "Ac", "Dy", "Dy", "Np", "Np", "O", "O", "O", "O", "O", "O", "O", "O", "O", "O", "O", "O"], "fractional_positions": [[0.000, 0.000, 0.000], [0.000, 0.000, 0.500], [0.333, 0.667, 0.250], [0.667, 0.333, 0.750], [0.667, 0.333, 0.250], [0.333, 0.667, 0.750], [0.652, 0.627, 0.141], [0.975, 0.348, 0.141], [0.348, 0.975, 0.641], [0.025, 0.652, 0.859], [0.373, 0.348, 0.359], [0.975, 0.627, 0.359], [0.627, 0.975, 0.859], [0.652, 0.025, 0.359], [0.025, 0.373, 0.641], [0.373, 0.025, 0.141], [0.627, 0.652, 0.641], [0.348, 0.373, 0.859]], "dft_energy_ev_per_atom": -8.958, "formation_energy_uncorrected_kj_per_mol_atoms": -313.3, "volume_a3_per_atom": 16.872, "spacegroup": "P-31c, No. 163"}

=====

# 10
{"formula": "Ti3B4W3", "functional": "PBE-GGA", "state": "optimized geometry", "lattice_angstrom": [[3.173, 0.000, 0.000], [0.000, 6.006, -0.065], [0.000, -0.012, 6.007]], "species": ["Ti", "Ti", "Ti", "B", "B", "B", "B", "W", "W", "W"], "fractional_positions": [[0.000, 0.498, 0.998], [0.000, 0.002, 0.502], [0.500, 0.175, 0.825], [0.000, 0.611, 0.389], [0.000, 0.392, 0.608], [0.000, 0.890, 0.892], [0.000, 0.108, 0.110], [0.500, 0.822, 0.178], [0.500, 0.324, 0.322], [0.500, 0.678, 0.676]], "dft_energy_ev_per_atom": -9.551, "dos_at_fermi_per_ev_atom": 0.276, "volume_a3_per_atom": 11.449, "spacegroup": "Amm2, No. 38"}

=====

# 11
{"formula": "TlBi12Ir4", "functional": "PBE-GGA", "state": "optimized geometry", "lattice_angstrom": [[2.538, -2.184, -7.857], [3.900, -4.980, 5.738], [-8.457, -1.002, 0.642]], "species": ["Tl", "Bi", "Bi", "Bi", "Bi", "Bi", "Bi", "Bi", "Bi", "Bi", "Bi", "Bi", "Bi", "Ir", "Ir", "Ir", "Ir"], "fractional_positions": [[0.000, 0.000, 0.000], [0.842, 0.336, 0.178], [0.336, 0.494, 0.158], [0.822, 0.158, 0.664], [0.336, 0.178, 0.842], [0.178, 0.842, 0.336], [0.664, 0.506, 0.842], [0.494, 0.158, 0.336], [0.506, 0.842, 0.664], [0.664, 0.822, 0.158], [0.842, 0.664, 0.506], [0.158, 0.336, 0.494], [0.158, 0.664, 0.822], [0.000, 0.500, 0.000], [0.500, 0.000, 0.000], [0.500, 0.500, 0.500], [0.000, 0.000, 0.500]], "dft_energy_ev_per_atom": -5.004, "dos_at_fermi_per_ev_atom": 0.218, "volume_a3_per_atom": 28.207, "spacegroup": "Im-3, No. 204"}

=====

# 12
{"formula": "Mg12TlCd6", "functional": "PBE-GGA", "state": "optimized geometry", "lattice_angstrom": [[8.180, -0.988, -1.184], [-2.217, 7.936, -1.184], [-2.217, -2.583, 7.596]], "species": ["Mg", "Mg", "Mg", "Mg", "Mg", "Mg", "Mg", "Mg", "Mg", "Mg", "Mg", "Mg", "Tl", "Cd", "Cd", "Cd", "Cd", "Cd", "Cd"], "fractional_positions": [[0.791, 0.677, 0.525], [0.525, 0.791, 0.677], [0.677, 0.525, 0.791], [0.209, 0.323, 0.475], [0.475, 0.209, 0.323], [0.323, 0.475, 0.209], [0.894, 0.836, 0.265], [0.164, 0.735, 0.106], [0.735, 0.106, 0.164], [0.106, 0.164, 0.735], [0.836, 0.265, 0.894], [0.265, 0.894, 0.836], [0.000, 0.000, 0.000], [0.639, 0.946, 0.425], [0.575, 0.361, 0.054], [0.054, 0.575, 0.361], [0.361, 0.054, 0.575], [0.425, 0.639, 0.946], [0.946, 0.425, 0.639]], "dft_energy_ev_per_atom": -1.486, "dos_at_fermi_per_ev_atom": 0.416, "volume_a3_per_atom": 22.169, "spacegroup": "R-3, No. 148", "relative_energy_mev_per_atom": 0.0}